Model one:
! MgTiOs3 PBE-GGA relaxed; values from VASP
&SYSTEM
  ibrav = 0, nat = 5, ntyp = 3
/
ATOMIC_SPECIES
Mg 24.30 Mg.upf
Ti 47.87 Ti.upf
Os 190.23 Os.upf
CELL_PARAMETERS angstrom
4.417 0.000 0.000
0.000 4.417 0.000
0.000 0.000 4.417
ATOMIC_POSITIONS crystal
Mg 0.000 0.000 0.000
Ti 0.500 0.500 0.500
Os 0.000 0.000 0.500
Os 0.000 0.500 0.000
Os 0.500 0.000 0.000
! Fermi-level density of states = 5.46 states/eV/f.u.
! Space group = Pm-3m, No. 221
! Crystal system = cubic



Model two:
! MgTiOs3 PBE-GGA relaxed; values from VASP
&SYSTEM
  ibrav = 0, nat = 5, ntyp = 3
/
ATOMIC_SPECIES
Mg 24.30 Mg.upf
Ti 47.87 Ti.upf
Os 190.23 Os.upf
CELL_PARAMETERS angstrom
4.574 0.000 0.000
0.000 4.574 0.000
0.000 0.000 4.574
ATOMIC_POSITIONS crystal
Mg 0.000 0.000 0.000
Ti 0.500 0.500 0.500
Os 0.000 0.500 0.500
Os 0.500 0.000 0.500
Os 0.500 0.500 0.000
! Fermi-level density of states = 5.64 states/eV/f.u.
! Space group = Pm-3m, No. 221
! Crystal system = cubic



Ranking the structures above from most stable to least stable yields model two, model one.